AcZn2F6 (PBE, relaxed); symmetry = P-31m; raw formation energy = -2.79 eV per atom; magnetic moment = 0.0 μB/f.u.; density = 5.34 g cm⁻³
1.0
-5.165 -1.742 0.458
1.816 -5.230 0.589
-0.691 3.228 4.483
Ac Zn F
1 2 6
direct
0.000 0.000 0.000 Ac
0.500 0.667 0.333 Zn
0.500 0.333 0.667 Zn
0.727 0.647 0.647 F
0.273 0.647 0.000 F
0.273 0.000 0.647 F
0.727 0.353 0.000 F
0.273 0.353 0.353 F
0.727 0.000 0.353 F